Record 1
# CrSbSe

CrSbSe after structural relaxation (PBE, the Alexandria database).

```
CrSbSe
1.0
-1.227 -2.085 -3.641
3.704 -1.135 2.026
-1.914 -2.520 2.088
Cr Se Sb
1 1 1
Direct
0.000 0.000 0.835
0.333 0.667 0.833
0.667 0.333 0.332
```

Computed properties:
density of states at the Fermi level = 1.7 states/eV per cell
theoretical density = 6.7 g/cm³
energy = -5.592 eV/atom
uncorrected formation energy = 14.6 kJ/mol of atoms



Record 2
# Cr3SbSe

Cr3SbSe after structural relaxation (PBE, the Alexandria database).

```
Cr3SbSe
1.0
5.148 0.000 0.000
0.000 5.148 0.000
0.000 0.000 5.148
Sb Se Cr
1 1 3
Direct
0.000 0.000 0.000
0.500 0.500 0.500
0.000 0.500 0.000
0.500 0.000 0.000
0.000 0.000 0.500
```

Computed properties:
density of states at the Fermi level = 5.7 states/eV per cell
theoretical density = 4.3 g/cm³
energy above the most stable polymorph in this dataset = 2.13 eV per formula unit
energy = -6.291 eV/atom
uncorrected formation energy = 96.9 kJ/mol of atoms



Record 3
# CrSb2Se

CrSb2Se after structural relaxation (PBE, the Alexandria database).

```
CrSb2Se
1.0
-2.072 -1.467 2.181
4.476 -1.807 3.037
2.326 3.029 4.247
Sb Se Cr
2 1 1
Direct
0.000 0.960 0.959
0.500 0.237 0.237
0.000 0.564 0.565
0.500 0.739 0.739
```

Computed properties:
density of states at the Fermi level = 2.5 states/eV per cell
theoretical density = 6.8 g/cm³
energy above the most stable polymorph in this dataset = 0.00 eV per formula unit
energy = -5.306 eV/atom
uncorrected formation energy = 3.1 kJ/mol of atoms



theoretical density of number 2 (Cr3SbSe)?
4.3 g/cm³